Version 1
The following is a PBE calculation of crystalline Ta2CdH2 at its relaxed geometry, from the Alexandria database.

```
Ta2CdH2
1.0
6.622 0.000 0.000
0.000 6.622 0.000
0.000 0.000 2.881
Ta Cd H
4 2 4
direct
0.144 0.356 0.000
0.356 0.856 0.000
0.644 0.144 0.000
0.856 0.644 0.000
0.000 0.000 0.500
0.500 0.500 0.500
0.104 0.604 0.500
0.396 0.104 0.500
0.604 0.896 0.500
0.896 0.396 0.500
```

Computed properties:
Its density of states at the Fermi level is 2.47 states/eV per cell. The mass density comes out at 12.52 Mg/m³.



Version 2
The following is a PBE calculation of crystalline Ta2CdH2 at its relaxed geometry, from the Alexandria database.

```
Ta2CdH2
1.0
-1.948 1.948 4.629
1.948 -1.948 4.629
1.948 1.948 -4.629
Ta Cd H
2 1 2
direct
0.250 0.750 0.500
0.750 0.250 0.500
0.000 0.000 0.000
0.328 0.328 0.000
0.672 0.672 0.000
```

Computed properties:
Its density of states at the Fermi level is 1.84 states/eV per cell. The mass density comes out at 11.26 Mg/m³.



Which is most stable, and by how much? version 2, by 189 meV/atom.